# Ta7Ga2C2 (PBE-GGA, optimized geometry)
# Electronic total energy in eV/cell: -218.0
# Energy relative to the elements in eV/atom: -0.140
# Total magnetic moment in Bohr magnetons per cell: 0.00
data_Ta7Ga2C2
_chemical_formula_sum 'Ta14 Ga4 C4'
_cell_length_a 2.965
_cell_length_b 13.968
_cell_length_c 8.220
_cell_angle_alpha 90.00
_cell_angle_beta 90.00
_cell_angle_gamma 90.00
_symmetry_space_group_name_H-M 'I m m 2'
_symmetry_Int_Tables_number 44
_symmetry_space_group_name_Hall 'I 2 -2'
loop_
_atom_site_label
_atom_site_fract_x
_atom_site_fract_y
_atom_site_fract_z
Ta1 0.000 0.000 0.000
Ta2 0.000 0.146 0.457
Ta3 0.000 0.324 0.640
Ta4 0.000 0.344 0.290
Ga1 0.000 0.000 0.671
Ga2 0.000 0.500 0.802
C1 0.000 0.243 0.915